No. 1
# YTa2Re2, relaxed, DFT PBE
data_YTa2Re2
_space_group_name_H-M_alt 'P 4/m b m'
_space_group_IT_number 127
_space_group_name_Hall '-P 4 2ab'
_cell_length_a 7.8903
_cell_length_b 7.8903
_cell_length_c 3.0701
_cell_angle_alpha 90.00
_cell_angle_beta 90.00
_cell_angle_gamma 90.00
loop_
_atom_site_label
_atom_site_type_symbol
_atom_site_fract_x
_atom_site_fract_y
_atom_site_fract_z
Y1 Y 0.0000 0.0000 0.0000
Ta1 Ta 0.1441 0.3559 0.5000
Re1 Re 0.1470 0.6470 0.0000
# Crystal system   tetragonal
# D(E_F)   8.8 states/eV/cell
# ΔE to the lowest computed polymorph   107 meV per atom
# Formation energy from the elements   0.1248 eV per atom
# Size of the total moment   0.000 μB per atom

=====

No. 2
# YTa2Re, relaxed, DFT PBE
data_YTa2Re
_space_group_name_H-M_alt 'P m m m'
_space_group_IT_number 47
_cell_length_a 3.2939
_cell_length_b 4.7866
_cell_length_c 4.8243
_cell_angle_alpha 90.00
_cell_angle_beta 90.00
_cell_angle_gamma 90.00
loop_
_space_group_symop_operation_xyz
'x,y,z'
'-x,-y,-z'
'-x,-y,z'
'x,y,-z'
'x,-y,-z'
'-x,y,z'
'-x,y,-z'
'x,-y,z'
loop_
_atom_site_label
_atom_site_type_symbol
_atom_site_fract_x
_atom_site_fract_y
_atom_site_fract_z
Y1 Y 0.0000 0.0000 0.0000
Ta1 Ta 0.0000 0.5000 0.5000
Ta2 Ta 0.5000 0.0000 0.5000
Re1 Re 0.5000 0.5000 0.0000
# Crystal system   orthorhombic
# D(E_F)   5.4 states/eV/cell
# ΔE to the lowest computed polymorph   250 meV per atom
# Formation energy from the elements   0.3430 eV per atom
# Size of the total moment   0.000 μB per atom